! K2FeAgH6 (PBE, relaxed); values from VASP
&SYSTEM
  ibrav = 0, nat = 10, ntyp = 4
/
ATOMIC_SPECIES
K 39.10 K.upf
Fe 55.84 Fe.upf
Ag 107.87 Ag.upf
H 1.01 H.upf
ATOMIC_POSITIONS crystal
K 0.250 0.250 0.249
K 0.750 0.750 0.751
Fe 0.500 0.500 0.000
Ag 0.000 0.000 0.500
H 0.264 0.728 0.769
H 0.272 0.736 0.231
H 0.319 0.319 0.812
H 0.681 0.681 0.188
H 0.728 0.264 0.769
H 0.736 0.272 0.231
CELL_PARAMETERS angstrom
5.144 -2.606 0.000
5.144 2.606 0.000
-2.568 0.000 4.492
! - magnetization (Bohr magnetons per cell) = 1.35
! - total DFT energy (no corrections) (eV/atom) = -3.363
! - Fermi-level density of states (states/eV per cell) = 5.66
! - calculated volume (Å³ per cell) = 120.4

=====

! Sc8Pd2Rh (PBE, relaxed); values from VASP
&SYSTEM
  ibrav = 0, nat = 11, ntyp = 3
/
ATOMIC_SPECIES
Sc 44.96 Sc.upf
Pd 106.42 Pd.upf
Rh 102.91 Rh.upf
ATOMIC_POSITIONS crystal
Sc 0.000 0.000 0.000
Sc 0.027 0.261 0.578
Sc 0.160 0.567 0.195
Sc 0.261 0.027 0.578
Sc 0.467 0.701 0.812
Sc 0.567 0.160 0.195
Sc 0.701 0.467 0.812
Sc 0.728 0.728 0.390
Pd 0.069 0.660 0.695
Pd 0.660 0.069 0.695
Rh 0.364 0.364 0.196
CELL_PARAMETERS angstrom
3.765 -6.607 0.000
3.765 6.607 0.000
-1.987 0.000 4.729
! - polymorph energy (0 for the lowest one) (kcal/mol of atoms) = 2.54
! - magnetization (Bohr magnetons per cell) = 0.00
! - Fermi-level density of states (states/eV per cell) = 11.95
! - formation energy from the elements (eV/atom) = -0.4270
! - calculated volume (Å³ per cell) = 235.2